(1)
Here is crystalline AcTbSm2Er4 at its relaxed geometry from Alexandria via LeMat-Bulk. Energies are from GGA-PBE.

Calculated values
**Total magnetization**: 0.234 μB/atom
**Calculated total energy**: -32.9 eV per formula unit
**Fermi-level density of states**: 2.32 states/eV/atom

Cell: 6.897 11.894 13.422 Å, 90.00 90.00 90.00°
Space group Imma (No. 74)
Asymmetric unit:
Ac 0.000 0.000 0.000 (multiplicity 4)
Tb 0.250 0.250 0.250 (multiplicity 4)
Sm 0.000 0.000 0.500 (multiplicity 4)
Sm 0.250 0.250 0.750 (multiplicity 4)
Er 0.000 0.002 0.258 (multiplicity 8)
Er 0.237 0.250 0.498 (multiplicity 8)

---

(2)
Here is crystalline Li6Bi2O7 at its relaxed geometry from Alexandria via LeMat-Bulk. Energies are from GGA-PBE.

Calculated values
**Total magnetization**: 0.000 μB/atom
**Calculated total energy**: -77.7 eV per formula unit
**Fermi-level density of states**: 0.10 states/eV/atom

Cell: 5.617 6.298 10.866 Å, 90.00 109.71 90.00°
Space group P2_1/c (No. 14)
Asymmetric unit:
Li 0.149 0.008 0.119 (multiplicity 4)
Li 0.189 0.211 0.355 (multiplicity 4)
Li 0.227 0.743 0.865 (multiplicity 4)
Bi 0.273 0.016 0.635 (multiplicity 4)
O 0.024 0.746 0.009 (multiplicity 4)
O 0.030 0.022 0.754 (multiplicity 4)
O 0.464 0.180 0.212 (multiplicity 4)
O 0.500 0.000 0.500 (multiplicity 2)

---

(3)
Here is crystalline CsHgBi at its relaxed geometry from Alexandria via LeMat-Bulk. Energies are from GGA-PBE.

Calculated values
**Total magnetization**: 0.000 μB/atom
**Calculated total energy**: -5.8 eV per formula unit
**Fermi-level density of states**: 0.11 states/eV/atom

Cell: 15.791 4.931 7.235 Å, 90.00 100.94 90.00°
Space group Cm (No. 8)
Asymmetric unit:
Cs 0.000 0.000 0.000 (multiplicity 2)
Cs 0.212 0.000 0.604 (multiplicity 2)
Hg 0.020 0.500 0.519 (multiplicity 2)
Hg 0.382 0.500 0.474 (multiplicity 2)
Bi 0.203 0.500 0.106 (multiplicity 2)
Bi 0.321 0.000 0.144 (multiplicity 2)

---

(4)
Here is crystalline GaCuSi2Bi at its relaxed geometry from Alexandria via LeMat-Bulk. Energies are from GGA-PBE.

Calculated values
**Total magnetization**: 0.000 μB/atom
**Calculated total energy**: -19.6 eV per formula unit
**Fermi-level density of states**: 0.43 states/eV/atom

Cell: 4.676 4.676 4.750 Å, 90.00 90.00 90.00°
Space group P4/mmm (No. 123)
Asymmetric unit:
Ga 0.000 0.000 0.000 (multiplicity 1)
Cu 0.000 0.000 0.500 (multiplicity 1)
Si 0.000 0.500 0.500 (multiplicity 2)
Bi 0.500 0.500 0.000 (multiplicity 1)

---

(5)
Here is crystalline CeErAgHg at its relaxed geometry from Alexandria via LeMat-Bulk. Energies are from GGA-PBE.

Calculated values
**Total magnetization**: 0.221 μB/atom
**Calculated total energy**: -14.7 eV per formula unit
**Fermi-level density of states**: 2.27 states/eV/atom

Cell: 7.442 7.442 7.442 Å, 90.00 90.00 90.00°
Space group F-43m (No. 216)
Asymmetric unit:
Ce 0.000 0.000 0.000 (multiplicity 4)
Er 0.000 0.000 0.500 (multiplicity 4)
Ag 0.250 0.250 0.750 (multiplicity 4)
Hg 0.250 0.250 0.250 (multiplicity 4)

---

(6)
Here is crystalline YTl2Pt at its relaxed geometry from Alexandria via LeMat-Bulk. Energies are from GGA-PBE.

Calculated values
**Total magnetization**: 0.000 μB/atom
**Calculated total energy**: -18.6 eV per formula unit
**Fermi-level density of states**: 0.51 states/eV/atom

Cell: 3.9436 3.9436 25.1789 Å, 90.00 90.00 120.00°
Space group R3m (No. 160, hexagonal axes)
Asymmetric unit:
Y 0.0000 0.0000 0.0000 (multiplicity 3)
Tl 0.0000 0.0000 0.2293 (multiplicity 3)
Tl 0.0000 0.0000 0.4678 (multiplicity 3)
Pt 0.0000 0.0000 0.7287 (multiplicity 3)